No. 1
Below is crystalline Tl5Te5Rh at its relaxed geometry, with properties calculated at the GGA-PBE level.

a b c (Å): 8.7141 8.7141 8.5349
angles (deg): 114.17 114.17 38.49
Fractional positions:
Tl 0.0000 0.0000 0.0000
Tl 0.2896 0.2896 0.2407
Tl 0.3939 0.3939 0.7459
Tl 0.6061 0.6061 0.2541
Tl 0.7104 0.7104 0.7593
Te 0.1228 0.1228 0.8259
Te 0.1520 0.1520 0.4580
Te 0.5000 0.5000 0.5000
Te 0.8480 0.8480 0.5420
Te 0.8772 0.8772 0.1741
Rh 0.0000 0.0000 0.5000

Results
Raw total energy, eV per atom: -3.344
SG: No. 12

=====

No. 2
Below is crystalline Tl2TeRh at its relaxed geometry, with properties calculated at the GGA-PBE level.

a b c (Å): 5.0321 4.2280 6.2429
angles (deg): 90.00 113.58 90.00
Fractional positions:
Tl 0.1640 0.0000 0.3279
Tl 0.8360 0.0000 0.6721
Te 0.5000 0.5000 0.0000
Rh 0.0000 0.5000 0.0000

Results
SG: No. 10
Offset from the most stable computed form, eV/f.u.: 0.43